No. 1
4
Lattice="4.749 0.000 0.000 2.374 4.112 0.000 2.374 1.371 3.877" Properties=species:S:1:pos:R:3 comment="Ag2PCl | Alexandria | PBE | optimized geometry" rho_g_cm3=6.189 e_form_raw_ev_per_atom=0.590 de_polymorph_ev_per_atom=0.5667 pbc="T T T"
Ag 0.000 0.000 0.000
Ag 2.374 1.371 0.969
Cl 4.749 2.742 1.939
P 7.123 4.112 2.908

No. 2
4
Lattice="5.182 0.000 0.000 0.000 3.221 0.067 0.000 1.337 5.504" Properties=species:S:1:pos:R:3 comment="Zr2SbBr | Alexandria | PBE | optimized geometry" rho_g_cm3=6.978 e_form_raw_ev_per_atom=-0.420 de_polymorph_ev_per_atom=0.1378 pbc="T T T"
Sb 2.591 3.231 4.389
Br 0.000 1.736 2.350
Zr 0.000 1.550 5.388
Zr 2.591 1.657 1.733